# K2Pu2Te2Se PBE-GGA relaxed
# Size of the total moment ... 1.711 μB per atom
# Total DFT energy (no corrections) ... -0.250 hartree per atom
# DOS at the Fermi energy ... 3.164 states/eV per atom
data_K2Pu2Te2Se
_chemical_formula_sum 'K4 Pu4 Te4 Se2'
_space_group_name_H-M_alt 'I 4/m m m'
_space_group_IT_number 139
_space_group_name_Hall '-I 4 2'
_cell_length_a 5.528
_cell_length_b 5.528
_cell_length_c 17.516
_cell_angle_alpha 90.00
_cell_angle_beta 90.00
_cell_angle_gamma 90.00
loop_
_atom_site_label
_atom_site_type_symbol
_atom_site_fract_x
_atom_site_fract_y
_atom_site_fract_z
K1 K 0.000 0.000 0.185
Pu1 Pu 0.000 0.500 0.000
Te1 Te 0.000 0.000 0.386
Se1 Se 0.000 0.000 0.000



# K3PuTh2Se6 PBE-GGA relaxed
# Size of the total moment ... 0.567 μB per atom
# Total DFT energy (no corrections) ... -0.220 hartree per atom
# DOS at the Fermi energy ... 1.388 states/eV per atom
data_K3PuTh2Se6
_chemical_formula_sum 'K6 Pu2 Th4 Se12'
_space_group_name_H-M_alt 'C 1 2/m 1'
_space_group_IT_number 12
_cell_length_a 7.437
_cell_length_b 12.879
_cell_length_c 8.146
_cell_angle_alpha 90.00
_cell_angle_beta 107.71
_cell_angle_gamma 90.00
loop_
_space_group_symop_operation_xyz
'x,y,z'
'-x,-y,-z'
'-x,y,-z'
'x,-y,z'
'x+1/2,y+1/2,z'
'-x+1/2,-y+1/2,-z'
'-x+1/2,y+1/2,-z'
'x+1/2,-y+1/2,z'
loop_
_atom_site_label
_atom_site_type_symbol
_atom_site_fract_x
_atom_site_fract_y
_atom_site_fract_z
K1 K 0.000 0.000 0.000
K2 K 0.000 0.335 0.000
Pu1 Pu 0.000 0.500 0.500
Th1 Th 0.000 0.167 0.500
Se1 Se 0.234 0.000 0.713
Se2 Se 0.240 0.331 0.713



# KPuThSe4 PBE-GGA relaxed
# Size of the total moment ... 0.714 μB per atom
# Total DFT energy (no corrections) ... -0.249 hartree per atom
# DOS at the Fermi energy ... 1.561 states/eV per atom
data_KPuThSe4
_chemical_formula_sum 'K4 Pu4 Th4 Se16'
_space_group_name_H-M_alt 'I m m a'
_space_group_IT_number 74
_space_group_name_Hall '-I 2b 2'
_cell_length_a 8.897
_cell_length_b 8.941
_cell_length_c 12.544
_cell_angle_alpha 90.00
_cell_angle_beta 90.00
_cell_angle_gamma 90.00
loop_
_atom_site_label
_atom_site_type_symbol
_atom_site_fract_x
_atom_site_fract_y
_atom_site_fract_z
K1 K 0.000 0.250 0.130
Pu1 Pu 0.250 0.250 0.750
Th1 Th 0.000 0.000 0.500
Se1 Se 0.000 0.038 0.731
Se2 Se 0.214 0.250 0.514



# K3Pu2ThSe6 PBE-GGA relaxed
# Size of the total moment ... 0.917 μB per atom
# Total DFT energy (no corrections) ... -0.241 hartree per atom
# DOS at the Fermi energy ... 2.141 states/eV per atom
data_K3Pu2ThSe6
_chemical_formula_sum 'K6 Pu4 Th2 Se12'
_space_group_name_H-M_alt 'C 1 2/m 1'
_space_group_IT_number 12
_cell_length_a 19.769
_cell_length_b 4.325
_cell_length_c 9.148
_cell_angle_alpha 90.00
_cell_angle_beta 107.95
_cell_angle_gamma 90.00
loop_
_space_group_symop_operation_xyz
'x,y,z'
'-x,-y,-z'
'-x,y,-z'
'x,-y,z'
'x+1/2,y+1/2,z'
'-x+1/2,-y+1/2,-z'
'-x+1/2,y+1/2,-z'
'x+1/2,-y+1/2,z'
loop_
_atom_site_label
_atom_site_type_symbol
_atom_site_fract_x
_atom_site_fract_y
_atom_site_fract_z
K1 K 0.000 0.000 0.000
K2 K 0.169 0.500 0.331
Pu1 Pu 0.169 0.500 0.837
Th1 Th 0.000 0.000 0.500
Se1 Se 0.007 0.500 0.724
Se2 Se 0.155 0.000 0.602
Se3 Se 0.175 0.000 0.058